# Rb2PrAlTe4, relaxed, DFT PBE
data_Rb2PrAlTe4
_cell_length_a 9.0602
_cell_length_b 9.7073
_cell_length_c 13.4149
_cell_angle_alpha 90.00
_cell_angle_beta 90.00
_cell_angle_gamma 90.00
_symmetry_space_group_name_H-M 'I m m a'
_symmetry_Int_Tables_number 74
_symmetry_space_group_name_Hall '-I 2b 2'
loop_
_atom_site_label
_atom_site_type_symbol
_atom_site_fract_x
_atom_site_fract_y
_atom_site_fract_z
Rb1 Rb 0.0000 0.0000 0.0000
Rb2 Rb 0.2500 0.2500 0.2500
Pr1 Pr 0.0000 0.0000 0.5000
Al1 Al 0.2500 0.2500 0.7500
Te1 Te 0.0000 0.0548 0.7408
Te2 Te 0.2300 0.2500 0.5264
# Formation energy (no corrections) = -0.906 eV/atom
# DOS at the Fermi energy = 0.76 states/eV/f.u.
# Magnetization = 0.0 Bohr magnetons per cell